VASP calculation (PBE-GGA) on a geometry-optimized Pm8Rh3I4Br structure.

Summary:
E: -5.17 eV per atom
ρ: 6.814 g cm⁻³

a b c (Å): 8.508 9.384 8.508
angles (deg): 116.97 120.00 90.00
Positions (direct):
I (0.000, 0.000, 0.000)
I (0.500, 0.000, 0.000)
I (0.000, 0.000, 0.500)
I (0.500, 0.000, 0.500)
Pm (0.245, 0.691, 0.491)
Pm (0.728, 0.684, 0.456)
Pm (0.272, 0.316, 0.544)
Pm (0.300, 0.309, 0.055)
Pm (0.700, 0.691, 0.945)
Pm (0.755, 0.309, 0.509)
Pm (0.245, 0.691, 0.945)
Pm (0.755, 0.309, 0.055)
Rh (0.500, 0.500, 0.000)
Rh (0.000, 0.500, 0.500)
Rh (0.500, 0.500, 0.500)
Br (0.000, 0.500, 0.000)